Sr2LiPbSe | PBE | relaxed

abc: 6.040 6.040 4.601
angles: 90.00 90.00 90.00
Space group P4/mmm (No. 123)
Unique sites:
Sr  0.000  0.500  0.000 (multiplicity 2)
Li  0.000  0.000  0.500 (multiplicity 1)
Pb  0.500  0.500  0.500 (multiplicity 1)
Se  0.000  0.000  0.000 (multiplicity 1)

Raw formation energy (eV per atom): -0.929
Total magnetization (μB/f.u.): 0.000
Total DFT energy (no corrections) (eV per atom): -3.42